A plane-wave DFT calculation with GGA-PBE was carried out for HfTcPt2 after structural relaxation.

Computed properties:
Relative energy among the computed polymorphs in meV per atom: 597
Total DFT energy (no corrections) in eV per atom: -8.23
Magnetization in μB per cell: 0.65
Theoretical density in g cm⁻³: 15.559
E_form in eV/atom: -0.1336

Geometry as POSCAR:
```
HfTcPt2
1.0
-1.952 1.952 9.335
1.952 -1.952 9.335
1.952 1.952 -9.335
Hf Tc Pt
2 2 4
direct
0.000 0.000 0.000
0.750 0.250 0.500
0.250 0.750 0.500
0.500 0.500 0.000
0.132 0.625 0.007
0.375 0.382 0.507
0.618 0.125 0.993
0.875 0.868 0.493
```

=====

A plane-wave DFT calculation with GGA-PBE was carried out for NaSrPt10 after structural relaxation.

Computed properties:
Total DFT energy (no corrections) in eV per atom: -5.63
Magnetization in μB per cell: 0.00
Theoretical density in g cm⁻³: 15.236
E_form in eV/atom: -0.3456

Geometry as POSCAR:
```
NaSrPt10
1.0
4.404 0.000 0.000
0.000 5.430 0.000
0.000 0.000 9.395
Na Sr Pt
1 1 10
direct
0.000 0.000 0.000
0.000 0.500 0.500
0.000 0.000 0.326
0.000 0.000 0.674
0.000 0.500 0.161
0.000 0.500 0.839
0.500 0.000 0.500
0.500 0.250 0.249
0.500 0.250 0.751
0.500 0.500 0.000
0.500 0.750 0.249
0.500 0.750 0.751
```

=====

A plane-wave DFT calculation with GGA-PBE was carried out for AsIrSe2 after structural relaxation.

Computed properties:
E_form (uncorrected) in eV/atom: 0.072
Total DFT energy (no corrections) in eV per atom: -5.05
Magnetization in μB per cell: 0.00
Theoretical density in g cm⁻³: 7.534

Geometry as POSCAR:
```
AsIrSe2
1.0
-1.821 2.095 6.139
1.821 -2.095 6.139
1.821 2.095 -6.139
As Ir Se
1 1 2
direct
0.000 0.000 0.000
0.500 0.500 0.000
0.356 0.856 0.500
0.644 0.144 0.500
```

=====

A plane-wave DFT calculation with GGA-PBE was carried out for SiAg4Mo after structural relaxation.

Computed properties:
E_form (uncorrected) in eV/atom: 0.741
Total DFT energy (no corrections) in eV per atom: -3.87
Magnetization in μB per cell: 3.89
Theoretical density in g cm⁻³: 8.158

Geometry as POSCAR:
```
SiAg4Mo
1.0
0.000 3.838 3.838
3.838 0.000 3.838
3.838 3.838 0.000
Si Ag Mo
1 4 1
direct
0.000 0.000 0.000
0.126 0.625 0.625
0.625 0.126 0.625
0.625 0.625 0.126
0.625 0.625 0.625
0.250 0.250 0.250
```

=====

A plane-wave DFT calculation with GGA-PBE was carried out for TlRhBr2 after structural relaxation.

Computed properties:
E_form (uncorrected) in eV/atom: 0.210
Relative energy among the computed polymorphs in meV per atom: 508
Total DFT energy (no corrections) in eV per atom: -3.06
Magnetization in μB per cell: 2.00
Theoretical density in g cm⁻³: 7.630

Geometry as POSCAR:
```
TlRhBr2
1.0
0.000 3.704 3.704
3.704 0.000 3.704
3.704 3.704 0.000
Tl Rh Br
1 1 2
direct
0.000 0.000 0.000
0.500 0.500 0.500
0.250 0.250 0.250
0.750 0.750 0.750
```

=====

A plane-wave DFT calculation with GGA-PBE was carried out for SrNd2Ag6 after structural relaxation.

Computed properties:
Total DFT energy (no corrections) in eV per atom: -3.40
Magnetization in μB per cell: 0.00
Theoretical density in g cm⁻³: 7.594
E_form in eV/atom: -0.2515

Geometry as POSCAR:
```
SrNd2Ag6
1.0
8.367 0.000 0.000
-4.183 7.246 0.000
0.000 0.000 3.691
Sr Nd Ag
1 2 6
direct
0.000 0.000 0.000
0.333 0.667 0.000
0.667 0.333 0.000
0.000 0.335 0.500
0.000 0.665 0.500
0.335 0.000 0.500
0.335 0.335 0.500
0.665 0.000 0.500
0.665 0.665 0.500
```

=====

A plane-wave DFT calculation with GGA-PBE was carried out for Sr2Li3GaAu4 after structural relaxation.

Computed properties:
Total DFT energy (no corrections) in eV per atom: -3.12
Magnetization in μB per cell: 0.00
Theoretical density in g cm⁻³: 8.040
E_form in eV/atom: -0.5989

Geometry as POSCAR:
```
Sr2Li3GaAu4
1.0
4.563 0.000 0.000
0.000 4.563 0.000
0.000 0.000 10.453
Sr Li Ga Au
2 3 1 4
direct
0.000 0.500 0.245
0.500 0.000 0.755
0.000 0.500 0.880
0.500 0.000 0.120
0.500 0.500 0.500
0.000 0.000 0.500
0.000 0.000 0.000
0.000 0.500 0.630
0.500 0.000 0.370
0.500 0.500 0.000
```

=====

A plane-wave DFT calculation with GGA-PBE was carried out for MnNi3Cl after structural relaxation.

Computed properties:
E_form (uncorrected) in eV/atom: 0.631
Relative energy among the computed polymorphs in meV per atom: 0
Total DFT energy (no corrections) in eV per atom: -5.04
Magnetization in μB per cell: 4.28
Theoretical density in g cm⁻³: 6.221

Geometry as POSCAR:
```
MnNi3Cl
1.0
4.143 0.000 0.000
0.000 4.143 0.000
0.000 0.000 4.143
Mn Ni Cl
1 3 1
direct
0.000 0.000 0.000
0.000 0.500 0.500
0.500 0.000 0.500
0.500 0.500 0.000
0.500 0.500 0.500
```